The following is a DFT calculation (GGA-PBE) of an optimized crystal structure of Zn2CoOs.

Results
Space-group type: P4/mmm
Fermi-level density of states, states/eV per atom: 1.076
Energy of formation from the pure elements, eV per atom: 0.2062
Total DFT energy (no corrections), eV/atom: -5.015
Energy above the lowest structure with this stoichiometry, eV/f.u.: 0.54
ρ, g/cm3: 11.86

a b c (Å): 3.8990 3.6939 3.6939
angles (deg): 90.00 90.00 90.00
Closest atoms and distances in Å follow each position.
Fractional coordinates of all 4 atoms:
Co 0.5000 0.5000 0.0000  4 Os 2.61, 8 Zn 2.69
Os 0.5000 0.0000 0.5000  4 Co 2.61, 8 Zn 2.69
Zn 0.0000 0.0000 0.0000  4 Zn 2.61, 4 Os 2.69, 4 Co 2.69
Zn 0.0000 0.5000 0.5000  4 Zn 2.61, 4 Os 2.69, 4 Co 2.69

---

The following is a DFT calculation (GGA-PBE) of an optimized crystal structure of SrAlAg2Hg.

Results
Space-group type: P4/mmm
Fermi-level density of states, states/eV per atom: 0.398
Energy of formation from the pure elements, eV per atom: -0.1140
Total DFT energy (no corrections), eV/atom: -2.400
Energy above the lowest structure with this stoichiometry, eV/f.u.: 0.49
ρ, g/cm3: 6.68

a b c (Å): 5.0262 5.0262 5.2254
angles (deg): 90.00 90.00 90.00
Closest atoms and distances in Å follow each position.
Fractional coordinates of all 5 atoms:
Sr 0.5000 0.5000 0.5000  4 Hg 3.55, 8 Ag 3.63
Hg 0.0000 0.0000 0.5000  2 Al 2.61
Ag 0.0000 0.5000 0.0000  2 Al 2.51
Ag 0.5000 0.0000 0.0000  2 Al 2.51
Al 0.0000 0.0000 0.0000  4 Ag 2.51, 2 Hg 2.61

---

The following is a DFT calculation (GGA-PBE) of an optimized crystal structure of Cd2In12Pb5.

Results
Space-group type: C2/m
Fermi-level density of states, states/eV per atom: 0.304
Energy of formation from the pure elements, eV per atom: 0.0427
Total DFT energy (no corrections), eV/atom: -2.759
ρ, g/cm3: 8.02

a b c (Å): 5.4756 11.0350 11.0350
angles (deg): 58.23 76.46 76.46
Closest atoms and distances in Å follow each position.
Fractional coordinates of all 19 atoms:
Cd 0.0000 0.2477 0.7523  8 In 3.16-3.23
Cd 0.0000 0.7523 0.2477  8 In 3.16-3.23
In 0.0868 0.9035 0.9035  2 Cd 3.21, 4 Pb 3.24-3.29, 3 In 3.31-3.58
In 0.1994 0.5490 0.0591  6 In 3.31-3.42, 2 Pb 3.36-3.40, 1 Cd 3.64
In 0.1994 0.0591 0.5490  6 In 3.31-3.42, 2 Pb 3.36-3.40, 1 Cd 3.64
In 0.5900 0.6424 0.1796  2 Cd 3.18-3.23, 3 Pb 3.19-3.46, 3 In 3.31-3.42
In 0.5900 0.1796 0.6424  2 Cd 3.18-3.23, 3 Pb 3.19-3.46, 3 In 3.31-3.42
In 0.1181 0.4131 0.4131  2 Cd 3.16, 3 In 3.25-3.32, 2 Pb 3.39-3.42
In 0.8819 0.5869 0.5869  2 Cd 3.16, 3 In 3.25-3.32, 2 Pb 3.39-3.42
In 0.4100 0.3576 0.8204  2 Cd 3.18-3.23, 3 Pb 3.19-3.46, 3 In 3.31-3.42
In 0.4100 0.8204 0.3576  2 Cd 3.18-3.23, 3 Pb 3.19-3.46, 3 In 3.31-3.42
In 0.8006 0.4510 0.9409  6 In 3.31-3.42, 2 Pb 3.36-3.40, 1 Cd 3.64
In 0.8006 0.9409 0.4510  6 In 3.31-3.42, 2 Pb 3.36-3.40, 1 Cd 3.64
In 0.9132 0.0965 0.0965  2 Cd 3.21, 4 Pb 3.24-3.29, 3 In 3.31-3.58
Pb 0.3276 0.1916 0.1916  6 In 3.24-3.46, 3 Pb 3.43-3.56
Pb 0.7236 0.3041 0.3041  6 In 3.19-3.42, 2 Pb 3.43-3.45
Pb 0.5000 0.0000 0.0000  8 In 3.25-3.32, 2 Pb 3.56
Pb 0.2764 0.6959 0.6959  6 In 3.19-3.42, 2 Pb 3.43-3.45
Pb 0.6724 0.8084 0.8084  6 In 3.24-3.46, 3 Pb 3.43-3.56

---

The following is a DFT calculation (GGA-PBE) of an optimized crystal structure of Na2SnPS4.

Results
Formation energy without anion corrections, eV/f.u.: -4.4
Space-group type: Pmn2_1
Fermi-level density of states, states/eV per atom: 0.205
Total DFT energy (no corrections), eV/atom: -4.118
ρ, g/cm3: 2.50

a b c (Å): 6.8982 6.8847 9.0566
angles (deg): 90.00 90.00 90.00
Closest atoms and distances in Å follow each position.
Fractional coordinates of all 16 atoms:
Na 0.5051 0.2947 0.2457  4 S 2.76-2.86
Na 0.5051 0.2947 0.7543  4 S 2.76-2.86
Na 0.0051 0.7053 0.7457  4 S 2.76-2.86
Na 0.0051 0.7053 0.2543  4 S 2.76-2.86
Sn 0.9674 0.2135 0.5000  1 S 2.51
Sn 0.4674 0.7865 0.0000  1 S 2.51
P 0.4929 0.8369 0.5000  3 S 2.08-2.11
P 0.9929 0.1631 0.0000  3 S 2.08-2.11
S 0.3370 0.1268 0.0000  1 P 2.39, 1 Sn 2.51
S 0.8370 0.8732 0.5000  1 P 2.39, 1 Sn 2.51
S 0.3689 0.1121 0.5000  1 P 2.08
S 0.8689 0.8879 0.0000  1 P 2.08
S 0.4118 0.6919 0.6958  1 P 2.11
S 0.9118 0.3081 0.1958  1 P 2.11
S 0.9118 0.3081 0.8042  1 P 2.11
S 0.4118 0.6919 0.3042  1 P 2.11

---

The following is a DFT calculation (GGA-PBE) of an optimized crystal structure of Ac3Ga2GePd9.

Results
Space-group type: P-3m1
Fermi-level density of states, states/eV per atom: 0.548
Energy of formation from the pure elements, eV per atom: -0.6191
Total DFT energy (no corrections), eV/atom: -5.268
ρ, g/cm3: 9.17

a b c (Å): 6.6456 6.6456 8.7622
angles (deg): 90.00 90.00 120.00
Closest atoms and distances in Å follow each position.
Fractional coordinates of all 15 atoms:
Ac 0.3333 0.6667 0.6783  9 Pd 3.35-3.41
Ac 0.0000 0.0000 0.0000  12 Pd 3.03-3.32
Ac 0.6667 0.3333 0.3217  9 Pd 3.35-3.41
Ga 0.3333 0.6667 0.1825  6 Pd 2.39-2.50
Ga 0.6667 0.3333 0.8175  6 Pd 2.39-2.50
Ge 0.0000 0.0000 0.5000  6 Pd 2.46
Pd 0.8575 0.1425 0.7089  1 Ga 2.39, 1 Ge 2.46
Pd 0.8575 0.7150 0.7089  1 Ga 2.39, 1 Ge 2.46
Pd 0.2850 0.1425 0.7089  1 Ga 2.39, 1 Ge 2.46
Pd 0.7150 0.8575 0.2911  1 Ga 2.39, 1 Ge 2.46
Pd 0.1425 0.2850 0.2911  1 Ga 2.39, 1 Ge 2.46
Pd 0.1425 0.8575 0.2911  1 Ga 2.39, 1 Ge 2.46
Pd 0.5000 0.0000 0.0000  2 Ga 2.50
Pd 0.0000 0.5000 0.0000  2 Ga 2.50
Pd 0.5000 0.5000 0.0000  2 Ga 2.50

---

The following is a DFT calculation (GGA-PBE) of an optimized crystal structure of Y2BeTcO.

Results
Formation energy without anion corrections, eV/f.u.: 0.9
Space-group type: P4/mmm
Fermi-level density of states, states/eV per atom: 0.618
Total DFT energy (no corrections), eV/atom: -6.209
ρ, g/cm3: 4.59

a b c (Å): 5.1819 4.0574 5.1819
angles (deg): 90.00 90.00 90.00
Closest atoms and distances in Å follow each position.
Fractional coordinates of all 5 atoms:
Y 0.0000 0.0000 0.5000  2 Tc 2.59
Y 0.5000 0.0000 0.0000  2 Tc 2.59
Be 0.0000 0.5000 0.0000  2 Tc 2.03
Tc 0.0000 0.0000 0.0000  2 Be 2.03
O 0.5000 0.5000 0.5000  8 Y 3.29, 4 Be 3.66

---

The following is a DFT calculation (GGA-PBE) of an optimized crystal structure of NbHOF2.

Results
Space-group type: P4/mmm
Fermi-level density of states, states/eV per atom: 0.358
Total DFT energy (no corrections), eV/atom: -6.119
Energy above the lowest structure with this stoichiometry, eV/f.u.: 0.00
ρ, g/cm3: 3.60

a b c (Å): 4.1840 4.1840 3.8979
angles (deg): 90.00 90.00 90.00
Closest atoms and distances in Å follow each position.
Fractional coordinates of all 5 atoms:
H 0.5000 0.5000 0.5000  8 F 2.86, 4 O 2.96
Nb 0.0000 0.0000 0.0000  2 O 1.95, 4 F 2.09
O 0.0000 0.0000 0.5000  2 Nb 1.95
F 0.0000 0.5000 0.0000  2 Nb 2.09
F 0.5000 0.0000 0.0000  2 Nb 2.09

---

The following is a DFT calculation (GGA-PBE) of an optimized crystal structure of ScTc2Br.

Results
Formation energy without anion corrections, eV/f.u.: 2.1
Space-group type: R-3m
Fermi-level density of states, states/eV per atom: 1.494
Total DFT energy (no corrections), eV/atom: -6.651
Energy above the lowest structure with this stoichiometry, eV/f.u.: 2.81
ρ, g/cm3: 7.65

a b c (Å): 8.8766 8.8766 8.8766
angles (deg): 19.72 19.72 19.72
Closest atoms and distances in Å follow each position.
Fractional coordinates of all 4 atoms:
Br 0.2500 0.2500 0.2500  6 Tc 2.74, 6 Br 3.04
Sc 0.7500 0.7500 0.7500  6 Tc 2.85, 6 Sc 3.04
Tc 0.9974 0.9974 0.9974  3 Br 2.74, 3 Sc 2.85, 6 Tc 3.04
Tc 0.5026 0.5026 0.5026  3 Br 2.74, 3 Sc 2.85, 6 Tc 3.04

---

The following is a DFT calculation (GGA-PBE) of an optimized crystal structure of Rb4ZnBr6.

Results
Formation energy without anion corrections, eV/f.u.: -16.5
Space-group type: Cc
Fermi-level density of states, states/eV per atom: 0.000
Total DFT energy (no corrections), eV/atom: -2.882
ρ, g/cm3: 2.79

a b c (Å): 8.4492 9.3135 15.8027
angles (deg): 75.73 74.49 63.03
Closest atoms and distances in Å follow each position.
Fractional coordinates of all 22 atoms:
Rb 0.3464 0.9688 0.6269  5 Br 3.31-3.61
Rb 0.0579 0.4688 0.1269  5 Br 3.31-3.61
Rb 0.8055 0.2828 0.4527  5 Br 3.31-3.68
Rb 0.4590 0.7828 0.9527  5 Br 3.31-3.68
Rb 0.9994 0.6460 0.6652  4 Br 3.34-3.66
Rb 0.6895 0.1460 0.1652  4 Br 3.34-3.66
Rb 0.6815 0.2531 0.8044  5 Br 3.33-3.58
Rb 0.2609 0.7531 0.3044  5 Br 3.33-3.58
Zn 0.6759 0.7735 0.4032  4 Br 2.43-2.48
Zn 0.1474 0.2735 0.9032  4 Br 2.43-2.48
Br 0.4032 0.5381 0.1384  4 Rb 3.31-3.34
Br 0.9203 0.0381 0.6384  4 Rb 3.31-3.34
Br 0.4517 0.6665 0.4910  1 Zn 2.48
Br 0.3908 0.1665 0.9910  1 Zn 2.48
Br 0.5704 0.0577 0.4181  1 Zn 2.43
Br 0.9537 0.5577 0.9181  1 Zn 2.43
Br 0.9946 0.0912 0.9509  1 Zn 2.44
Br 0.9633 0.5912 0.4509  1 Zn 2.44
Br 0.0058 0.1493 0.2566  4 Rb 3.31-3.38
Br 0.5883 0.6493 0.7566  4 Rb 3.31-3.38
Br 0.2968 0.2590 0.7468  1 Zn 2.46
Br 0.6974 0.7590 0.2468  1 Zn 2.46

---

The following is a DFT calculation (GGA-PBE) of an optimized crystal structure of Ir2W.

Results
Space-group type: Pa-3
Fermi-level density of states, states/eV per atom: 0.689
Energy of formation from the pure elements, eV per atom: 0.7410
Total DFT energy (no corrections), eV/atom: -9.484
ρ, g/cm3: 16.90

a b c (Å): 6.0673 6.0673 6.0673
angles (deg): 90.00 90.00 90.00
Closest atoms and distances in Å follow each position.
Fractional coordinates of all 12 atoms:
Ir 0.3816 0.3816 0.3816  1 Ir 2.49, 3 W 2.53
Ir 0.6184 0.6184 0.6184  1 Ir 2.49, 3 W 2.53
Ir 0.8816 0.1184 0.6184  1 Ir 2.49, 3 W 2.53
Ir 0.1184 0.8816 0.3816  1 Ir 2.49, 3 W 2.53
Ir 0.6184 0.8816 0.1184  1 Ir 2.49, 3 W 2.53
Ir 0.3816 0.1184 0.8816  1 Ir 2.49, 3 W 2.53
Ir 0.1184 0.6184 0.8816  1 Ir 2.49, 3 W 2.53
Ir 0.8816 0.3816 0.1184  1 Ir 2.49, 3 W 2.53
W 0.0000 0.0000 0.0000  6 Ir 2.53
W 0.5000 0.5000 0.0000  6 Ir 2.53
W 0.5000 0.0000 0.5000  6 Ir 2.53
W 0.0000 0.5000 0.5000  6 Ir 2.53

---

The following is a DFT calculation (GGA-PBE) of an optimized crystal structure of LaZnNi2H.

Results
Space-group type: Cmcm
Fermi-level density of states, states/eV per atom: 0.600
Total DFT energy (no corrections), eV/atom: -4.580
ρ, g/cm3: 7.40

a b c (Å): 3.9608 5.6355 6.9305
angles (deg): 90.00 90.00 110.57
Closest atoms and distances in Å follow each position.
Fractional coordinates of all 10 atoms:
La 0.4344 0.8689 0.7500  4 H 2.72, 3 Zn 2.98-3.04
La 0.5656 0.1311 0.2500  4 H 2.72, 3 Zn 2.98-3.04
Zn 0.7164 0.4329 0.7500  6 Ni 2.46-2.51
Zn 0.2836 0.5671 0.2500  6 Ni 2.46-2.51
Ni 0.1592 0.3183 0.9411  1 H 1.73
Ni 0.8408 0.6817 0.0589  1 H 1.73
Ni 0.1592 0.3183 0.5589  1 H 1.73
Ni 0.8408 0.6817 0.4411  1 H 1.73
H 0.0000 0.0000 0.0000  2 Ni 1.73
H 0.0000 0.0000 0.5000  2 Ni 1.73

---

The following is a DFT calculation (GGA-PBE) of an optimized crystal structure of Sr2YMg2.

Results
Space-group type: P4/mbm
Fermi-level density of states, states/eV per atom: 0.628
Energy of formation from the pure elements, eV per atom: 0.1805
Total DFT energy (no corrections), eV/atom: -2.423
Energy above the lowest structure with this stoichiometry, eV/f.u.: 0.41
ρ, g/cm3: 2.96

a b c (Å): 9.6839 9.6839 3.7471
angles (deg): 90.00 90.00 90.00
Closest atoms and distances in Å follow each position.
Fractional coordinates of all 10 atoms:
Y 0.0000 0.0000 0.0000  2 Y 3.75, 4 Sr 3.76, 8 Mg 4.08
Y 0.5000 0.5000 0.0000  2 Y 3.75, 4 Sr 3.76, 8 Mg 4.08
Sr 0.3638 0.8638 0.0000  6 Mg 3.33-3.45, 1 Sr 3.73
Sr 0.8638 0.6362 0.0000  6 Mg 3.33-3.45, 1 Sr 3.73
Sr 0.6362 0.1362 0.0000  6 Mg 3.33-3.45, 1 Sr 3.73
Sr 0.1362 0.3638 0.0000  6 Mg 3.33-3.45, 1 Sr 3.73
Mg 0.1624 0.6624 0.5000  6 Sr 3.33-3.45
Mg 0.6624 0.8376 0.5000  6 Sr 3.33-3.45
Mg 0.8376 0.3376 0.5000  6 Sr 3.33-3.45
Mg 0.3376 0.1624 0.5000  6 Sr 3.33-3.45

---

- Which formula does entry 10 have?
  Ir2W

---

- Which formula does entry 12 have?
  Sr2YMg2